Below is crystalline RbPaV2O7 at its relaxed geometry, with properties calculated at the PBE with a Hubbard U level.

Total energy: -86.706 eV/cell
Symmetry: P4/mmm, No. 123

Lattice parameters (Å, degrees): 3.7839 3.7839 10.8021 90.00 90.00 90.00
Closest atoms and distances in Å follow each position.
Positions (direct):
V (0.5000, 0.5000, 0.8007)  1 O 1.68
V (0.5000, 0.5000, 0.1993)  1 O 1.68
Rb (0.0000, 0.0000, 0.5000)  8 O 3.10
O (0.0000, 0.5000, 0.1437)  2 V 1.99
O (0.5000, 0.5000, 0.0000)  2 V 2.15
O (0.5000, 0.5000, 0.3552)  1 V 1.68
O (0.0000, 0.5000, 0.8563)  2 V 1.99
O (0.5000, 0.5000, 0.6448)  1 V 1.68
O (0.5000, 0.0000, 0.8563)  2 V 1.99
O (0.5000, 0.0000, 0.1437)  2 V 1.99
Pa (0.0000, 0.0000, 0.0000)  12 O 2.45-2.68